# 1
VASP calculation (meta-GGA SCAN) on a crystal of LaCo2Se relaxed with PBEsol.

Properties
Total energy: -24.692 eV per atom
Density: 8.33 g/cm3

Cell and atoms, written as CIF:
```
data_LaCo2Se
_cell_length_a 3.9641
_cell_length_b 3.9641
_cell_length_c 14.7618
_cell_angle_alpha 90.00
_cell_angle_beta 90.00
_cell_angle_gamma 120.00
_space_group_name_H-M_alt 'R -3 m'
_space_group_IT_number 166
_space_group_name_Hall '-R 3 2"'
loop_
_atom_site_label
_atom_site_type_symbol
_atom_site_fract_x
_atom_site_fract_y
_atom_site_fract_z
_atom_site_occupancy
La1 La 0.0000 0.0000 0.0000 1
Co1 Co 0.0000 0.0000 0.2013 1
Se1 Se 0.0000 0.0000 0.5000 1
```

---

# 2
VASP calculation (meta-GGA SCAN) on a crystal of LaCoSe3 relaxed with PBEsol.

Properties
Total energy: -25.138 eV per atom
Density: 7.02 g/cm3

Cell and atoms, written as CIF:
```
data_LaCoSe3
_cell_length_a 4.6848
_cell_length_b 4.6848
_cell_length_c 4.6848
_cell_angle_alpha 90.00
_cell_angle_beta 90.00
_cell_angle_gamma 90.00
_space_group_name_H-M_alt 'P m -3 m'
_space_group_IT_number 221
_space_group_name_Hall '-P 4 2 3'
loop_
_atom_site_label
_atom_site_type_symbol
_atom_site_fract_x
_atom_site_fract_y
_atom_site_fract_z
_atom_site_occupancy
La1 La 0.0000 0.0000 0.0000 1
Co1 Co 0.5000 0.5000 0.5000 1
Se1 Se 0.0000 0.5000 0.5000 1
```

---

# 3
VASP calculation (meta-GGA SCAN) on a crystal of LaCo2Se relaxed with PBEsol.

Properties
Total energy: -24.747 eV per atom
Density: 7.25 g/cm3

Cell and atoms, written as CIF:
```
data_LaCo2Se
_cell_length_a 4.4920
_cell_length_b 4.4920
_cell_length_c 15.2378
_cell_angle_alpha 90.00
_cell_angle_beta 90.00
_cell_angle_gamma 90.00
_space_group_name_H-M_alt 'I -4 2 d'
_space_group_IT_number 122
_space_group_name_Hall 'I -4 2bw'
loop_
_atom_site_label
_atom_site_type_symbol
_atom_site_fract_x
_atom_site_fract_y
_atom_site_fract_z
_atom_site_occupancy
La1 La 0.0000 0.0000 0.0000 1
Co1 Co 0.0551 0.2500 0.6250 1
Se1 Se 0.0000 0.0000 0.5000 1
```

---

# 4
VASP calculation (meta-GGA SCAN) on a crystal of LaCoSe4 relaxed with PBEsol.

Properties
Total energy: -23.456 eV per atom
Density: 6.69 g/cm3

Cell and atoms, written as CIF:
```
data_LaCoSe4
_cell_length_a 7.9892
_cell_length_b 7.9892
_cell_length_c 7.9892
_cell_angle_alpha 90.00
_cell_angle_beta 90.00
_cell_angle_gamma 90.00
_space_group_name_H-M_alt 'F -4 3 m'
_space_group_IT_number 216
_space_group_name_Hall 'F -4 2 3'
loop_
_atom_site_label
_atom_site_type_symbol
_atom_site_fract_x
_atom_site_fract_y
_atom_site_fract_z
_atom_site_occupancy
La1 La 0.0000 0.0000 0.0000 1
Co1 Co 0.2500 0.2500 0.7500 1
Se1 Se 0.1236 0.1236 0.3764 1
```